No. 1
The following is a DFT calculation (PBE) of crystalline CdBiO2F at its relaxed geometry.

Unit cell a=4.192 b=5.744 c=7.697 alpha=88.33 beta=90.00 gamma=90.00
Element x y z (fractional)
Cd (0.250, 0.367, 0.138)
Bi (0.250, 0.277, 0.616)
Cd (0.750, 0.633, 0.862)
O (0.250, 0.471, 0.853)
O (0.750, 0.529, 0.147)
Bi (0.750, 0.723, 0.384)
O (0.250, 0.556, 0.405)
O (0.750, 0.444, 0.595)
F (0.250, 0.025, 0.274)
F (0.750, 0.975, 0.726)

Calculated values
density = 6.7 Mg/m³
E_tot = -4.82 eV/atom
Fermi-level density of states = 0.0000 states/eV/atom
formation energy (no corrections) = -1.5046 eV/atom

No. 2
The following is a DFT calculation (PBE) of crystalline La6Mg2CoRu at its relaxed geometry.

Unit cell a=7.768 b=7.768 c=7.744 alpha=120.34 beta=120.34 gamma=89.69
Element x y z (fractional)
La (0.248, 0.248, 0.000)
La (0.245, 0.246, 0.492)
Mg (0.250, 0.750, 0.499)
La (0.754, 0.755, 0.508)
Ru (0.501, 0.501, 0.002)
Mg (0.750, 0.250, 0.499)
La (0.753, 0.248, 0.999)
Co (0.000, 0.000, 0.000)
La (0.247, 0.753, 0.000)
La (0.751, 0.752, 0.999)

Calculated values
density = 5.3 Mg/m³
E_tot = -5.05 eV/atom
Fermi-level density of states = 1.1002 states/eV/atom
ΔE_f = -0.132 eV per atom

No. 3
The following is a DFT calculation (PBE) of crystalline Ac2ZnAuO6 at its relaxed geometry.

Unit cell a=4.342 b=5.708 c=5.708 alpha=90.00 beta=90.00 gamma=90.00
Element x y z (fractional)
Au (0.649, 0.000, 0.000)
O (0.152, 0.000, 0.000)
Zn (0.605, 0.500, 0.500)
O (0.140, 0.500, 0.500)
O (0.684, 0.750, 0.250)
Ac (0.083, 0.500, 0.000)
O (0.684, 0.750, 0.750)
O (0.684, 0.250, 0.250)
O (0.684, 0.250, 0.750)
Ac (0.083, 0.000, 0.500)

Calculated values
density = 9.5 Mg/m³
E_tot = -6.14 eV/atom
Fermi-level density of states = 0.1146 states/eV/atom
formation energy (no corrections) = -1.8925 eV/atom

No. 4
The following is a DFT calculation (PBE) of crystalline BaS4O at its relaxed geometry.

Unit cell a=8.069 b=8.625 c=9.877 alpha=90.00 beta=90.00 gamma=90.00
Element x y z (fractional)
S (0.626, 0.023, 0.606)
Ba (0.753, 0.749, 0.862)
S (0.057, 0.635, 0.652)
S (0.139, 0.880, 0.024)
Ba (0.247, 0.249, 0.638)
S (0.943, 0.135, 0.848)
O (0.264, 0.500, 0.500)
S (0.861, 0.620, 0.524)
O (0.736, 0.000, 0.000)
S (0.568, 0.393, 0.830)
Ba (0.753, 0.251, 0.138)
S (0.432, 0.893, 0.670)
S (0.626, 0.977, 0.394)
S (0.374, 0.523, 0.894)
S (0.943, 0.865, 0.152)
S (0.139, 0.120, 0.976)
S (0.568, 0.607, 0.170)
S (0.057, 0.365, 0.348)
O (0.771, 0.500, 0.000)
O (0.229, 0.000, 0.500)
Ba (0.247, 0.751, 0.362)
S (0.861, 0.380, 0.476)
S (0.374, 0.477, 0.106)
S (0.432, 0.107, 0.330)

Calculated values
density = 2.7 Mg/m³
E_tot = -4.42 eV/atom
formation energy (no corrections) = -0.5229 eV/atom

No. 5
The following is a DFT calculation (PBE) of crystalline Li2PmHo at its relaxed geometry.

Unit cell a=5.300 b=5.300 c=5.300 alpha=60.00 beta=60.00 gamma=60.00
Element x y z (fractional)
Li (0.750, 0.750, 0.750)
Pm (0.500, 0.500, 0.500)
Li (0.250, 0.250, 0.250)
Ho (0.000, 0.000, 0.000)

Calculated values
polymorph energy (0 for the lowest one) = 0.002 eV/atom
density = 5.1 Mg/m³
E_tot = -3.13 eV/atom
Fermi-level density of states = 1.2556 states/eV/atom
ΔE_f = 0.155 eV per atom

No. 6
The following is a DFT calculation (PBE) of crystalline Ni2RhC2 at its relaxed geometry.

Unit cell a=3.603 b=3.603 c=4.595 alpha=66.92 beta=66.92 gamma=90.00
Element x y z (fractional)
Ni (0.658, 0.658, 0.684)
Rh (0.000, 0.000, 0.000)
C (0.750, 0.250, 0.500)
C (0.250, 0.750, 0.500)
Ni (0.342, 0.342, 0.316)

Calculated values
polymorph energy (0 for the lowest one) = 0.000 eV/atom
density = 8.2 Mg/m³
E_tot = -6.47 eV/atom
Fermi-level density of states = 1.0988 states/eV/atom
ΔE_f = 1.003 eV per atom

No. 7
The following is a DFT calculation (PBE) of crystalline KTaO3 at its relaxed geometry.

Unit cell a=23.271 b=7.407 c=8.401 alpha=90.00 beta=164.42 gamma=90.00
Element x y z (fractional)
O (0.941, 0.377, 0.442)
O (0.204, 0.413, 0.704)
Ta (0.415, 0.873, 0.914)
K (0.440, 0.750, 0.440)
K (0.560, 0.250, 0.560)
O (0.059, 0.623, 0.558)
O (0.672, 0.750, 0.672)
O (0.328, 0.250, 0.328)
Ta (0.085, 0.373, 0.586)
O (0.704, 0.087, 0.204)
O (0.796, 0.587, 0.296)
O (0.296, 0.913, 0.796)
O (0.172, 0.750, 0.172)
O (0.441, 0.123, 0.942)
Ta (0.915, 0.627, 0.414)
K (0.060, 0.250, 0.060)
O (0.828, 0.250, 0.828)
O (0.559, 0.877, 0.058)
Ta (0.585, 0.127, 0.086)
K (0.940, 0.750, 0.940)

Calculated values
density = 4.6 Mg/m³
E_tot = -8.11 eV/atom
Fermi-level density of states = 0.0000 states/eV/atom
formation energy (no corrections) = -2.5480 eV/atom

No. 8
The following is a DFT calculation (PBE) of crystalline Sr2In9Pd6 at its relaxed geometry.

Unit cell a=6.165 b=6.165 c=12.831 alpha=90.00 beta=90.00 gamma=120.00
Element x y z (fractional)
In (0.000, 0.500, 0.838)
In (0.500, 0.000, 0.162)
In (0.500, 0.000, 0.500)
Sr (0.000, 0.000, 0.335)
Pd (0.667, 0.333, 0.329)
In (0.000, 0.500, 0.162)
In (0.000, 0.500, 0.500)
In (0.500, 0.500, 0.162)
Sr (0.000, 0.000, 0.665)
Pd (0.333, 0.667, 0.000)
Pd (0.667, 0.333, 0.000)
Pd (0.333, 0.667, 0.329)
In (0.500, 0.500, 0.500)
In (0.500, 0.000, 0.838)
Pd (0.667, 0.333, 0.671)
In (0.500, 0.500, 0.838)
Pd (0.333, 0.667, 0.671)

Calculated values
density = 7.3 Mg/m³
E_tot = -3.86 eV/atom
Fermi-level density of states = 0.4785 states/eV/atom
ΔE_f = -0.380 eV per atom

No. 9
The following is a DFT calculation (PBE) of crystalline Tb2AgOsO8 at its relaxed geometry.

Unit cell a=4.914 b=4.920 c=7.075 alpha=87.30 beta=92.61 gamma=92.83
Element x y z (fractional)
O (0.301, 0.301, 0.499)
O (0.152, 0.849, 0.785)
O (0.699, 0.699, 0.501)
O (0.722, 0.723, 0.999)
O (0.209, 0.788, 0.166)
Ag (0.000, 0.000, 0.500)
Tb (0.528, 0.474, 0.258)
Os (0.000, 0.000, 0.000)
Tb (0.472, 0.526, 0.742)
O (0.278, 0.277, 0.001)
O (0.848, 0.151, 0.215)
O (0.791, 0.212, 0.834)

Calculated values
density = 7.2 Mg/m³
E_tot = -7.06 eV/atom
Fermi-level density of states = 0.2225 states/eV/atom
formation energy (no corrections) = -1.8088 eV/atom

No. 10
The following is a DFT calculation (PBE) of crystalline GeBOs2 at its relaxed geometry.

Unit cell a=4.118 b=4.118 c=4.118 alpha=60.00 beta=60.00 gamma=60.00
Element x y z (fractional)
Os (0.750, 0.750, 0.750)
B (0.000, 0.000, 0.000)
Os (0.250, 0.250, 0.250)
Ge (0.500, 0.500, 0.500)

Calculated values
polymorph energy (0 for the lowest one) = 0.000 eV/atom
density = 15.6 Mg/m³
E_tot = -7.98 eV/atom
Fermi-level density of states = 0.5294 states/eV/atom
ΔE_f = 0.459 eV per atom

No. 11
The following is a DFT calculation (PBE) of crystalline CeDyScHg at its relaxed geometry.

Unit cell a=5.189 b=5.189 c=5.189 alpha=60.00 beta=60.00 gamma=60.00
Element x y z (fractional)
Sc (0.000, 0.000, 0.000)
Hg (0.750, 0.750, 0.750)
Ce (0.250, 0.250, 0.250)
Dy (0.500, 0.500, 0.500)

Calculated values
density = 9.2 Mg/m³
E_tot = -4.29 eV/atom
Fermi-level density of states = 1.8299 states/eV/atom
ΔE_f = 0.000 eV per atom

No. 12
The following is a DFT calculation (PBE) of crystalline Th4Ge2Ru at its relaxed geometry.

Unit cell a=7.858 b=7.858 c=7.858 alpha=111.59 beta=111.55 gamma=105.36
Element x y z (fractional)
Th (0.357, 0.121, 0.366)
Th (0.893, 0.759, 0.265)
Ru (0.250, 0.750, 0.500)
Ge (0.728, 0.375, 0.853)
Th (0.878, 0.244, 0.235)
Th (0.009, 0.643, 0.765)
Ge (0.522, 0.875, 0.147)
Ge (0.125, 0.272, 0.647)
Th (0.372, 0.107, 0.866)
Ru (0.000, 0.000, 0.000)
Th (0.756, 0.991, 0.634)
Th (0.241, 0.506, 0.134)
Th (0.494, 0.628, 0.735)
Ge (0.625, 0.478, 0.353)

Calculated values
density = 10.5 Mg/m³
E_tot = -7.45 eV/atom
Fermi-level density of states = 0.9647 states/eV/atom
ΔE_f = -0.569 eV per atom